# 1
CsBI2O8: relaxed, GGA-PBE.

Output
As for the mass density: 3.293 Mg/m³. As for the crystal system: monoclinic. The calculation puts the uncorrected formation energy at -0.528 eV/atom. As for the space group: C2/m, No. 12.

Lattice parameters (Å, degrees): 7.098 7.098 9.302 127.11 127.11 49.10
Element x y z (fractional)
Cs1 0.000 0.000 0.000
B1 0.500 0.500 0.500
I1 0.165 0.165 0.625
I2 0.835 0.835 0.375
O1 0.152 0.152 0.421
O2 0.214 0.545 0.363
O3 0.345 0.345 0.837
O4 0.455 0.786 0.637
O5 0.545 0.214 0.363
O6 0.655 0.655 0.163
O7 0.786 0.455 0.637
O8 0.848 0.848 0.579

# 2
CsBI2O: relaxed, GGA-PBE.

Output
As for the mass density: 4.568 Mg/m³. The calculation puts the relative energy among the computed polymorphs at 0 meV per atom. As for the crystal system: tetragonal. The calculation puts the uncorrected formation energy at -0.289 eV/atom. As for the space group: P4/mmm, No. 123.

Lattice parameters (Å, degrees): 6.887 6.887 3.169 90.00 90.00 90.00
Element x y z (fractional)
Cs1 0.000 0.000 0.000
B1 0.500 0.500 0.500
I1 0.000 0.500 0.500
I2 0.500 0.000 0.500
O1 0.500 0.500 0.000

- Which formula does entry 2 have?
  CsBI2O